Compound: AgTeMoO5
Source: Alexandria via LeMat-Bulk
Functional: PBE with a Hubbard U
Structure: optimized geometry

Results
The density of states at the Fermi level is 0.223 states/eV per atom. The space group is C2/c (15). The calculation puts the electronic total energy at -5.72 eV/atom. The calculation puts the density at 5.7 g cm⁻³. The calculation puts the total magnetic moment at 1.997 μB per cell.

a = 5.917 Å, b = 5.917 Å, c = 7.926 Å
α = 107.03°, β = 107.03°, γ = 102.06°
Element x y z (fractional)
Ag (0.181, 0.819, 0.750)
Ag (0.819, 0.181, 0.250)
Te (0.200, 0.800, 0.250)
Te (0.800, 0.200, 0.750)
Mo (0.500, 0.500, 0.000)
Mo (0.500, 0.500, 0.500)
O (0.152, 0.239, 0.866)
O (0.227, 0.673, 0.472)
O (0.239, 0.152, 0.366)
O (0.327, 0.773, 0.028)
O (0.486, 0.514, 0.250)
O (0.514, 0.486, 0.750)
O (0.673, 0.227, 0.972)
O (0.761, 0.848, 0.634)
O (0.773, 0.327, 0.528)
O (0.848, 0.761, 0.134)